HfNpPa (PBE-GGA, relaxed); E above lowest polymorph = 0.00 kJ per mole of atoms; formation enthalpy at 0 K = 0.267 eV per atom; space-group type = R-3m (166)
1.0
-2.041 -4.593 2.846
3.460 -2.975 3.541
-3.289 5.716 12.727
Pa Hf Np
6 6 6
Direct
0.398 0.398 0.806 Pa
0.500 0.500 0.000 Pa
0.500 0.000 0.000 Pa
0.000 0.500 0.000 Pa
0.602 0.602 0.194 Pa
0.500 0.500 0.500 Pa
0.183 0.183 0.452 Hf
0.817 0.817 0.548 Hf
0.261 0.261 0.218 Hf
0.739 0.739 0.782 Hf
0.957 0.957 0.128 Hf
0.043 0.043 0.872 Hf
0.173 0.744 0.338 Np
0.744 0.744 0.338 Np
0.256 0.256 0.662 Np
0.827 0.256 0.662 Np
0.744 0.173 0.338 Np
0.256 0.827 0.662 Np